# KCoCuO2, relaxed, DFT GGA+U
data_KCoCuO2
_cell_length_a 5.814
_cell_length_b 12.010
_cell_length_c 4.522
_cell_angle_alpha 90.00
_cell_angle_beta 90.00
_cell_angle_gamma 90.00
_symmetry_space_group_name_H-M 'C m m e'
_symmetry_Int_Tables_number 67
_symmetry_space_group_name_Hall '-C 2a 2'
loop_
_atom_site_label
_atom_site_type_symbol
_atom_site_fract_x
_atom_site_fract_y
_atom_site_fract_z
_atom_site_occupancy
K1 K 0.000 0.250 0.242 1
Co1 Co 0.250 0.000 0.500 1
Cu1 Cu 0.000 0.000 0.000 1
O1 O 0.000 0.097 0.681 1
# **Final energy**: -99.33 eV for the cell shown
# **Total magnetic moment**: 3.00 μB/f.u.
# **Volume**: 316 Å³ per cell